# 1
11
Lattice="3.7917 0.0000 0.3759 1.8772 3.2944 0.3759 -0.5853 -0.3401 25.2151" Properties=species:S:1:pos:R:3 comment="Y6Ho2Se3 PBE optimized geometry" volume_a3_per_atom=28.72 mass_density_g_cm3=5.78 energy_ev_per_atom=-6.200 e_form_raw_mev_per_atom=-892 pbc="T T T"
Y -0.0412 -0.0240 19.7270
Y 5.1248 2.9782 6.2400
Y 0.7904 0.4593 11.3386
Y 4.2932 2.4949 14.6284
Y 1.4861 0.8636 23.6322
Y 3.5975 2.0906 2.3348
Ho 2.1248 1.2348 17.1892
Ho 2.9587 1.7194 8.7778
Se 0.0000 0.0000 0.0000
Se 1.5307 0.8895 3.8713
Se 3.5529 2.0647 22.0956

# 2
4
Lattice="-0.2403 -3.5005 3.6312 4.2314 -1.6219 2.2273 0.9742 1.2614 4.7913" Properties=species:S:1:pos:R:3 comment="MgZr2Te PBE optimized geometry" volume_a3_per_atom=22.76 mass_density_g_cm3=6.10 energy_ev_per_atom=-5.339 e_form_raw_mev_per_atom=119 pbc="T T T"
Mg 2.4827 -1.9305 5.3249
Te 3.7240 -2.8957 7.9873
Zr 0.0000 0.0000 0.0000
Zr 1.2413 -0.9652 2.6624

# 3
6
Lattice="3.6968 -2.1344 0.0000 0.0000 4.2687 0.0000 0.0000 0.0000 5.2498" Properties=species:S:1:pos:R:3 comment="BeTcIr PBE optimized geometry" volume_a3_per_atom=13.81 mass_density_g_cm3=12.00 energy_ev_per_atom=-7.442 ef_ev_per_atom=0.209 pbc="T T T"
Be 0.0000 0.0000 0.0000
Be 0.0000 0.0000 2.6249
Ir 1.2323 2.1344 3.9373
Ir 2.4646 0.0000 1.3124
Tc 1.2323 2.1344 1.3124
Tc 2.4646 0.0000 3.9373

# 4
4
Lattice="4.7076 0.0000 0.0000 2.3538 4.0769 0.0000 2.3538 1.3590 3.8437" Properties=species:S:1:pos:R:3 comment="LiLuCdIr PBE optimized geometry" volume_a3_per_atom=18.44 mass_density_g_cm3=10.95 energy_ev_per_atom=-4.495 ef_ev_per_atom=-0.442 pbc="T T T"
Ir 4.7076 2.7179 1.9219
Lu 2.3538 1.3590 0.9609
Li 0.0000 0.0000 0.0000
Cd 7.0614 4.0769 2.8828

# 5
5
Lattice="-0.8727 -4.4944 1.8107 -0.3738 -1.8161 -4.6881 4.8317 -0.9458 -0.0189" Properties=species:S:1:pos:R:3 comment="Sc2CuMoAu PBE optimized geometry" volume_a3_per_atom=24.44 mass_density_g_cm3=6.07 energy_ev_per_atom=-5.369 ef_ev_per_atom=0.805 pbc="T T T"
Sc 2.4158 -0.4729 -0.0094
Sc -0.4364 -2.2472 0.9053
Mo 0.0000 0.0000 0.0000
Au -0.1869 -0.9081 -2.3440
Cu 1.7926 -3.6282 -1.4481

# 6
3
Lattice="-2.2632 -2.8009 -0.6948 1.5562 -1.9282 2.7038 -3.8519 4.7417 3.1112" Properties=species:S:1:pos:R:3 comment="AcErCu PBE optimized geometry" volume_a3_per_atom=28.45 mass_density_g_cm3=8.91 energy_ev_per_atom=-4.318 ef_ev_per_atom=-0.062 pbc="T T T"
Ac -0.1494 0.0845 0.1462
Cu -1.9386 -1.4686 2.5558
Er -2.4709 1.3967 2.4182

- Number 6 is which compound?
  AcErCu